1.
## Pm2TaSbN5 (PBE-GGA)

Data for a relaxed structure of Pm2TaSbN5.

Geometry as POSCAR:
```
Pm2TaSbN5
1.0
3.329 0.000 0.000
-1.665 7.087 0.000
0.000 0.000 10.648
N Pm Ta Sb
10 4 2 2
direct
0.498 0.996 0.783
0.933 0.865 0.550
0.369 0.737 0.011
0.283 0.567 0.637
0.702 0.405 0.874
0.067 0.135 0.050
0.717 0.433 0.137
0.502 0.004 0.283
0.298 0.595 0.374
0.631 0.263 0.511
0.860 0.720 0.774
0.874 0.749 0.219
0.140 0.280 0.274
0.126 0.251 0.719
0.771 0.541 0.505
0.229 0.459 0.005
0.512 0.024 0.970
0.488 0.976 0.470
```

Results
**Uncorrected energy**: -8.224 eV/atom
**Total magnetization**: 0.00 μB/f.u.
**Space group**: No. 36
**Energy relative to the elements, uncorrected**: -0.768 eV/atom

2.
## Pm2NdDy2Y6 (PBE-GGA)

Data for a relaxed structure of Pm2NdDy2Y6.

Geometry as POSCAR:
```
Pm2NdDy2Y6
1.0
-6.049 2.264 1.706
1.702 -4.307 -4.815
3.242 -6.057 9.956
Nd Y Dy Pm
1 6 2 2
direct
0.000 0.000 0.500
0.290 0.290 0.291
0.139 0.445 0.791
0.555 0.861 0.209
0.445 0.139 0.791
0.861 0.555 0.209
0.710 0.710 0.709
0.704 0.296 0.500
0.296 0.704 0.500
0.135 0.865 0.000
0.865 0.135 0.000
```

Results
**E_form**: 0.15 eV per atom
**Uncorrected energy**: -5.509 eV/atom
**Total magnetization**: 0.00 μB/f.u.
**Space group**: No. 12

3.
## CdPtI2 (PBE-GGA)

Data for a relaxed structure of CdPtI2.

Geometry as POSCAR:
```
CdPtI2
1.0
0.000 3.731 3.731
3.731 0.000 3.731
3.731 3.731 0.000
I Cd Pt
2 1 1
direct
0.250 0.250 0.250
0.750 0.750 0.750
0.000 0.000 0.000
0.500 0.500 0.500
```

Results
**ΔE to the lowest computed polymorph**: 423 meV per atom
**Uncorrected energy**: -1.988 eV/atom
**Total magnetization**: 0.00 μB/f.u.
**Space group**: No. 225
**Energy relative to the elements, uncorrected**: 0.526 eV/atom

4.
## HfZrScPa (PBE-GGA)

Data for a relaxed structure of HfZrScPa.

Geometry as POSCAR:
```
HfZrScPa
1.0
3.209 -0.008 0.242
-1.609 2.788 0.008
-0.800 -0.492 10.548
Pa Sc Zr Hf
1 1 1 1
direct
0.054 0.425 0.865
0.053 0.424 0.370
0.384 0.090 0.120
0.386 0.091 0.614
```

Results
**ΔE to the lowest computed polymorph**: 0 meV per atom
**E_form**: 0.02 eV per atom
**Uncorrected energy**: -8.559 eV/atom
**Total magnetization**: 0.00 μB/f.u.
**Space group**: No. 156

5.
## Sr2HO2 (PBE-GGA)

Data for a relaxed structure of Sr2HO2.

Geometry as POSCAR:
```
Sr2HO2
1.0
-3.743 -0.249 -0.218
0.568 -3.384 -5.900
2.104 -6.954 4.192
H O Sr
2 4 4
direct
0.571 0.884 0.142
0.429 0.384 0.858
0.482 0.459 0.964
0.190 0.233 0.380
0.518 0.959 0.036
0.810 0.733 0.620
0.750 0.065 0.500
0.045 0.225 0.090
0.955 0.725 0.910
0.250 0.565 0.500
```

Results
**Uncorrected energy**: -5.256 eV/atom
**Total magnetization**: 0.00 μB/f.u.
**Space group**: No. 36

6.
## Li6Al7Zn16 (PBE-GGA)

Data for a relaxed structure of Li6Al7Zn16.

Geometry as POSCAR:
```
Li6Al7Zn16
1.0
-3.036 7.540 3.450
4.141 3.695 6.868
4.536 7.497 -1.092
Zn Al Li
16 7 6
direct
0.837 0.837 0.837
0.512 0.163 0.163
0.378 0.866 0.378
0.866 0.378 0.378
0.837 0.488 0.837
0.134 0.622 0.622
0.622 0.134 0.622
0.378 0.378 0.866
0.163 0.163 0.512
0.837 0.837 0.488
0.622 0.622 0.622
0.163 0.512 0.163
0.378 0.378 0.378
0.163 0.163 0.163
0.622 0.622 0.134
0.488 0.837 0.837
0.000 0.500 0.000
0.000 0.000 0.500
0.000 0.500 0.500
0.500 0.000 0.500
0.500 0.500 0.000
0.500 0.500 0.500
0.500 0.000 0.000
0.213 0.213 0.787
0.787 0.213 0.213
0.213 0.787 0.213
0.787 0.213 0.787
0.213 0.787 0.787
0.787 0.787 0.213
```

Results
**E_form**: -0.07 eV per atom
**Uncorrected energy**: -2.069 eV/atom
**Total magnetization**: 0.00 μB/f.u.
**Space group**: No. 225

7.
## Na3TlHg8 (PBE-GGA)

Data for a relaxed structure of Na3TlHg8.

Geometry as POSCAR:
```
Na3TlHg8
1.0
9.899 0.000 0.676
-5.157 5.627 2.457
-0.415 0.000 5.590
Hg Na Tl
8 3 1
direct
0.999 0.496 0.139
0.503 0.504 0.635
0.087 0.000 0.775
0.740 0.000 0.781
0.252 0.000 0.279
0.671 0.503 0.131
0.169 0.497 0.634
0.415 0.000 0.787
0.337 0.497 0.137
0.840 0.503 0.634
0.574 0.000 0.296
0.913 0.000 0.272
```

Results
**E_form**: -0.17 eV per atom
**Uncorrected energy**: -0.894 eV/atom
**Total magnetization**: 0.00 μB/f.u.
**Space group**: No. 8

8.
## CuReOsRh2 (PBE-GGA)

Data for a relaxed structure of CuReOsRh2.

Geometry as POSCAR:
```
CuReOsRh2
1.0
-0.430 -4.446 1.552
3.577 -1.295 -2.719
3.015 0.937 3.520
Rh Re Cu Os
2 1 1 1
direct
0.000 0.000 0.500
0.500 0.000 0.000
0.000 0.500 0.000
0.500 0.500 0.500
0.000 0.000 0.000
```

Results
**E_form**: 1.81 eV per atom
**Uncorrected energy**: -6.689 eV/atom
**Total magnetization**: 1.26 μB/f.u.
**Space group**: No. 123

9.
## KLiSe2 (PBE-GGA)

Data for a relaxed structure of KLiSe2.

Geometry as POSCAR:
```
KLiSe2
1.0
6.038 0.001 0.000
2.883 5.306 0.000
-4.460 -2.654 3.086
Se Li K
2 1 1
direct
0.250 0.750 0.500
0.000 0.000 0.000
0.750 0.250 0.500
0.500 0.500 0.000
```

Results
**Uncorrected energy**: -2.955 eV/atom
**Total magnetization**: 0.00 μB/f.u.
**Space group**: No. 119
**Energy relative to the elements, uncorrected**: -0.460 eV/atom

10.
## CuAg2Pt (PBE-GGA)

Data for a relaxed structure of CuAg2Pt.

Geometry as POSCAR:
```
CuAg2Pt
1.0
4.786 -0.039 0.000
1.345 4.593 0.000
-3.065 -2.277 2.885
Ag Cu Pt
2 1 1
direct
0.000 0.000 0.000
0.250 0.750 0.500
0.500 0.500 0.000
0.750 0.250 0.500
```

Results
**ΔE to the lowest computed polymorph**: 58 meV per atom
**E_form**: 0.04 eV per atom
**Uncorrected energy**: -3.922 eV/atom
**Total magnetization**: 0.00 μB/f.u.
**Space group**: No. 119

11.
## KNa3O (PBE-GGA)

Data for a relaxed structure of KNa3O.

Geometry as POSCAR:
```
KNa3O
1.0
6.135 0.000 0.000
0.000 6.135 0.000
0.000 0.000 6.135
Na O K
3 1 1
direct
0.000 0.000 0.500
0.500 0.000 0.000
0.000 0.500 0.000
0.500 0.500 0.500
0.000 0.000 0.000
```

Results
**ΔE to the lowest computed polymorph**: 1395 meV per atom
**Uncorrected energy**: -1.227 eV/atom
**Total magnetization**: 0.00 μB/f.u.
**Space group**: No. 221
**Energy relative to the elements, uncorrected**: 0.776 eV/atom

12.
## KRb2Pd (PBE-GGA)

Data for a relaxed structure of KRb2Pd.

Geometry as POSCAR:
```
KRb2Pd
1.0
-9.405 -7.638 -0.425
5.706 -7.452 7.674
-3.203 -6.017 6.115
Rb Pd K
4 2 2
direct
0.768 0.125 0.250
0.375 0.232 0.750
0.982 0.625 0.250
0.875 0.018 0.750
0.000 0.000 0.000
0.750 0.250 0.500
0.500 0.500 0.000
0.250 0.750 0.500
```

Results
**E_form**: 0.14 eV per atom
**Uncorrected energy**: -1.911 eV/atom
**Total magnetization**: 0.00 μB/f.u.
**Space group**: No. 122